# 1
Computed, not measured: an optimized crystal structure of Os4Ru2W3 at the PBE level of DFT.

## Properties
Uncorrected energy ... -204.6 eV for the cell shown
Energy relative to the elements ... 0.001 eV/atom
M_tot ... 0.0 Bohr magnetons per cell

a b c (Å): 4.8222 7.1011 8.5836
angles (deg): 71.75 73.77 89.92
Fractional positions:
Os 0.0009 0.4212 0.1636
Os 0.1117 0.1892 0.9476
Os 0.2211 0.1434 0.3857
Os 0.3339 0.9113 0.1703
Os 0.6661 0.0887 0.8297
Os 0.7789 0.8566 0.6143
Os 0.8883 0.8108 0.0524
Os 0.9991 0.5788 0.8364
Ru 0.3324 0.7551 0.4976
Ru 0.4436 0.5230 0.2816
Ru 0.5564 0.4770 0.7184
Ru 0.6676 0.2449 0.5024
W 0.1119 0.3625 0.6112
W 0.2215 0.9702 0.7210
W 0.4458 0.6947 0.9461
W 0.5542 0.3053 0.0539
W 0.7785 0.0298 0.2790
W 0.8881 0.6375 0.3888



# 2
Computed, not measured: an optimized crystal structure of Fe4Pd at the PBE level of DFT.

## Properties
Uncorrected energy ... -31.6 eV for the cell shown
Energy relative to the elements ... 1.487 eV/atom
M_tot ... 13.0 Bohr magnetons per cell

a b c (Å): 4.5824 4.5824 4.5824
angles (deg): 90.00 90.00 90.00
Fractional positions:
Fe 0.0000 0.0000 0.0000
Fe 0.0000 0.5000 0.5000
Fe 0.5000 0.0000 0.5000
Fe 0.5000 0.5000 0.0000
Pd 0.5000 0.5000 0.5000



# 3
Computed, not measured: an optimized crystal structure of Pm15Tm2In2 at the PBE level of DFT.

## Properties
Uncorrected energy ... -82.8 eV for the cell shown
Energy relative to the elements ... 0.151 eV/atom
M_tot ... 0.0 Bohr magnetons per cell

a b c (Å): 8.7109 8.7109 8.7109
angles (deg): 79.11 79.11 79.11
Fractional positions:
Pm 0.0000 0.0000 0.5000
Pm 0.0000 0.2923 0.7077
Pm 0.0000 0.5000 0.0000
Pm 0.0000 0.7077 0.2923
Pm 0.1585 0.6228 0.6228
Pm 0.2923 0.0000 0.7077
Pm 0.2923 0.7077 0.0000
Pm 0.3772 0.3772 0.8415
Pm 0.3772 0.8415 0.3772
Pm 0.5000 0.0000 0.0000
Pm 0.6228 0.1585 0.6228
Pm 0.6228 0.6228 0.1585
Pm 0.7077 0.0000 0.2923
Pm 0.7077 0.2923 0.0000
Pm 0.8415 0.3772 0.3772
Tm 0.3105 0.3105 0.3105
Tm 0.6895 0.6895 0.6895
In 0.0945 0.0945 0.0945
In 0.9055 0.9055 0.9055



# 4
Computed, not measured: an optimized crystal structure of SmGd2Rh at the PBE level of DFT.

## Properties
Uncorrected energy ... -41.7 eV for the cell shown
Energy relative to the elements ... -0.372 eV/atom
ΔE to the lowest computed polymorph ... 0.000 eV per atom
M_tot ... 14.4 Bohr magnetons per cell

a b c (Å): 3.5381 3.5381 8.7007
angles (deg): 90.00 90.00 90.00
Fractional positions:
Sm 0.0000 0.0000 0.0000
Gd 0.5000 0.5000 0.3112
Gd 0.5000 0.5000 0.6888
Rh 0.0000 0.0000 0.5000



What is the M_tot in the second record?
13.0 Bohr magnetons per cell



Copy entry 4 word for word.
Computed, not measured: an optimized crystal structure of SmGd2Rh at the PBE level of DFT.

## Properties
Uncorrected energy ... -41.7 eV for the cell shown
Energy relative to the elements ... -0.372 eV/atom
ΔE to the lowest computed polymorph ... 0.000 eV per atom
M_tot ... 14.4 Bohr magnetons per cell

a b c (Å): 3.5381 3.5381 8.7007
angles (deg): 90.00 90.00 90.00
Fractional positions:
Sm 0.0000 0.0000 0.0000
Gd 0.5000 0.5000 0.3112
Gd 0.5000 0.5000 0.6888
Rh 0.0000 0.0000 0.5000



Which value of M_tot does entry 2 give?
13.0 Bohr magnetons per cell



Number 1 is which compound?
Os4Ru2W3